(1)
DFT (meta-GGA SCAN) results for Zr2CuRu at its PBEsol-relaxed geometry.

Unit cell a=5.4922 b=5.4922 c=5.4922 alpha=145.50 beta=132.74 gamma=59.81
Last column: nearest neighbours and their distance in Å.
Element x y z (fractional)
Zr: 0.0000 0.0000 0.0000  4 Ru 2.74, 2 Cu 3.06, 2 Zr 3.06
Zr: 0.7281 0.2281 0.5000  2 Ru 2.75, 4 Cu 2.77, 2 Zr 3.06
Cu: 0.2718 0.7718 0.5000  2 Ru 2.68, 4 Zr 2.77
Ru: 0.4948 0.4948 0.0000  2 Cu 2.68, 6 Zr 2.74-2.75

Values from the calculation:
DFT formation energy	-262	meV per atom
volume	17.07	A^3/atom

(2)
DFT (meta-GGA SCAN) results for Zr2CuRu at its PBEsol-relaxed geometry.

Unit cell a=4.5887 b=4.5887 c=3.2033 alpha=90.00 beta=90.00 gamma=90.00
Last column: nearest neighbours and their distance in Å.
Element x y z (fractional)
Zr: 0.0000 0.5000 0.0000  4 Ru 2.80, 4 Cu 2.80
Zr: 0.5000 0.0000 0.0000  4 Ru 2.80, 4 Cu 2.80
Cu: 0.0000 0.0000 0.5000  8 Zr 2.80
Ru: 0.5000 0.5000 0.5000  8 Zr 2.80

Values from the calculation:
DFT formation energy	-469	meV per atom
volume	16.86	A^3/atom

(3)
DFT (meta-GGA SCAN) results for Zr2CuRu at its PBEsol-relaxed geometry.

Unit cell a=3.2121 b=4.3528 c=5.0092 alpha=90.00 beta=100.92 gamma=90.00
Last column: nearest neighbours and their distance in Å.
Element x y z (fractional)
Zr: 0.0000 0.0000 0.0000  3 Ru 2.73-2.79, 4 Cu 2.75-2.76
Zr: 0.1814 0.5000 0.5615  4 Ru 2.73-2.77, 3 Cu 2.73-2.78
Cu: 0.5352 0.5000 0.1061  7 Zr 2.73-2.78, 2 Ru 2.79
Ru: 0.6409 0.0000 0.4609  7 Zr 2.73-2.79, 2 Cu 2.79

Values from the calculation:
DFT formation energy	-449	meV per atom
volume	17.19	A^3/atom

(4)
DFT (meta-GGA SCAN) results for CuS at its PBEsol-relaxed geometry.

Unit cell a=3.6208 b=3.6208 c=3.6208 alpha=60.00 beta=60.00 gamma=60.00
Last column: nearest neighbours and their distance in Å.
Element x y z (fractional)
Cu: 0.0000 0.0000 0.0000  4 S 2.22
S: 0.2500 0.2500 0.2500  4 Cu 2.22

Values from the calculation:
calculated total energy	-12.6747	eV per atom
volume	16.78	A^3/atom

(5)
DFT (meta-GGA SCAN) results for CuS at its PBEsol-relaxed geometry.

Unit cell a=3.7357 b=3.7357 c=16.1502 alpha=90.00 beta=90.00 gamma=120.00
Last column: nearest neighbours and their distance in Å.
Element x y z (fractional)
Cu: 0.3333 0.6667 0.1072  4 S 2.26-2.31
Cu: 0.3333 0.6667 0.3928  4 S 2.26-2.31
Cu: 0.3333 0.6667 0.7500  3 S 2.16
Cu: 0.6667 0.3333 0.2500  3 S 2.16
Cu: 0.6667 0.3333 0.6072  4 S 2.26-2.31
Cu: 0.6667 0.3333 0.8928  4 S 2.26-2.31
S: 0.0000 0.0000 0.0649  1 S 2.10, 3 Cu 2.26
S: 0.0000 0.0000 0.4351  1 S 2.10, 3 Cu 2.26
S: 0.0000 0.0000 0.5649  1 S 2.10, 3 Cu 2.26
S: 0.0000 0.0000 0.9351  1 S 2.10, 3 Cu 2.26
S: 0.3333 0.6667 0.2500  5 Cu 2.16-2.31
S: 0.6667 0.3333 0.7500  5 Cu 2.16-2.31

Values from the calculation:
calculated total energy	-12.6790	eV per atom
volume	16.27	A^3/atom

(6)
DFT (meta-GGA SCAN) results for Cu3SbS at its PBEsol-relaxed geometry.

Unit cell a=4.3917 b=4.3917 c=4.3917 alpha=90.00 beta=90.00 gamma=90.00
Last column: nearest neighbours and their distance in Å.
Element x y z (fractional)
Cu: 0.0000 0.0000 0.5000  2 S 2.20
Cu: 0.0000 0.5000 0.0000  2 S 2.20
Cu: 0.5000 0.0000 0.0000  2 S 2.20
Sb: 0.5000 0.5000 0.5000  12 Cu 3.11
S: 0.0000 0.0000 0.0000  6 Cu 2.20

Values from the calculation:
calculated total energy	-18.1640	eV per atom
volume	16.94	A^3/atom

(7)
DFT (meta-GGA SCAN) results for Cu11Sb4S13 at its PBEsol-relaxed geometry.

Unit cell a=8.6471 b=8.6471 c=8.6860 alpha=109.67 beta=109.67 gamma=106.43
Last column: nearest neighbours and their distance in Å.
Element x y z (fractional)
Cu: 0.0000 0.0000 0.0000  3 S 2.19-2.23
Cu: 0.0047 0.1920 0.7711  3 S 2.24-2.27
Cu: 0.1920 0.0047 0.7711  3 S 2.24-2.27
Cu: 0.2831 0.4801 0.2899  3 S 2.23-2.34
Cu: 0.4669 0.9761 0.5292  4 S 2.26-2.28
Cu: 0.4755 0.4755 0.1179  3 S 2.25-2.26
Cu: 0.4801 0.2831 0.2899  3 S 2.23-2.34
Cu: 0.5191 0.5191 0.7748  5 S 2.29-2.44
Cu: 0.7041 0.9590 0.2461  4 S 2.25-2.27
Cu: 0.9590 0.7041 0.2461  4 S 2.25-2.27
Cu: 0.9761 0.4669 0.5292  4 S 2.26-2.28
Sb: 0.1901 0.1901 0.5497  3 S 2.45-2.49
Sb: 0.1951 0.7402 0.9845  3 S 2.42-2.50
Sb: 0.6741 0.6741 0.4784  3 S 2.38-2.47, 1 Cu 2.61
Sb: 0.7402 0.1951 0.9845  3 S 2.42-2.50
S: 0.2254 0.2254 0.0298  6 Cu 2.20-2.34
S: 0.2308 0.7150 0.2719  3 Cu 2.25-2.28, 1 Sb 2.50
S: 0.2433 0.4798 0.5306  3 Cu 2.23-2.44, 1 Sb 2.49
S: 0.4311 0.9523 0.7677  2 Cu 2.24-2.26, 1 Sb 2.42
S: 0.4705 0.6850 0.0185  3 Cu 2.25-2.37, 1 Sb 2.50
S: 0.4798 0.2433 0.5306  3 Cu 2.23-2.44, 1 Sb 2.49
S: 0.6850 0.4705 0.0185  3 Cu 2.25-2.37, 1 Sb 2.50
S: 0.7150 0.2308 0.2719  3 Cu 2.25-2.28, 1 Sb 2.50
S: 0.7300 0.9865 0.5224  3 Cu 2.25-2.27, 1 Sb 2.47
S: 0.7479 0.7479 0.7921  2 Cu 2.19-2.29, 1 Sb 2.38
S: 0.9523 0.4311 0.7677  2 Cu 2.24-2.26, 1 Sb 2.42
S: 0.9602 0.9602 0.2275  3 Cu 2.23-2.27, 1 Sb 2.45
S: 0.9865 0.7300 0.5224  3 Cu 2.25-2.27, 1 Sb 2.47

Values from the calculation:
calculated total energy	-15.9891	eV per atom
volume	18.40	A^3/atom

(8)
DFT (meta-GGA SCAN) results for Cu3SbS at its PBEsol-relaxed geometry.

Unit cell a=4.7450 b=4.7450 c=4.7450 alpha=90.00 beta=90.00 gamma=90.00
Last column: nearest neighbours and their distance in Å.
Element x y z (fractional)
Cu: 0.0000 0.0000 0.5000  2 Sb 2.37
Cu: 0.0000 0.5000 0.0000  2 Sb 2.37
Cu: 0.5000 0.0000 0.0000  2 Sb 2.37
Sb: 0.0000 0.0000 0.0000  6 Cu 2.37
S: 0.5000 0.5000 0.5000  12 Cu 3.36

Values from the calculation:
calculated total energy	-17.5924	eV per atom
volume	21.37	A^3/atom

(9)
DFT (meta-GGA SCAN) results for CuSb2TeS at its PBEsol-relaxed geometry.

Unit cell a=5.0301 b=5.0301 c=4.8785 alpha=90.00 beta=90.00 gamma=90.00
Last column: nearest neighbours and their distance in Å.
Element x y z (fractional)
Cu: 0.0000 0.0000 0.0000  2 Te 2.44, 4 Sb 2.52
Sb: 0.0000 0.5000 0.0000  2 Cu 2.52
Sb: 0.5000 0.0000 0.0000  2 Cu 2.52
Te: 0.0000 0.0000 0.5000  2 Cu 2.44
S: 0.5000 0.5000 0.5000  8 Sb 3.50, 4 Te 3.56

Values from the calculation:
calculated total energy	-26.6651	eV per atom
volume	24.69	A^3/atom

(10)
DFT (meta-GGA SCAN) results for Zn2Cu10Sb4S13 at its PBEsol-relaxed geometry.

Unit cell a=8.8752 b=8.8752 c=8.8752 alpha=109.72 beta=109.72 gamma=108.97
Last column: nearest neighbours and their distance in Å.
Element x y z (fractional)
Zn: 0.2285 0.2285 0.0000  3 S 2.28-2.36
Zn: 0.7715 0.7715 0.0000  3 S 2.28-2.36
Cu: 0.0000 0.2218 0.2218  3 S 2.21-2.27
Cu: 0.0000 0.7782 0.7782  3 S 2.21-2.27
Cu: 0.2218 0.0000 0.2218  3 S 2.21-2.27
Cu: 0.2437 0.5000 0.7437  4 S 2.26-2.27
Cu: 0.2500 0.7500 0.5000  4 S 2.27
Cu: 0.5000 0.2437 0.7437  4 S 2.26-2.27
Cu: 0.5000 0.7563 0.2563  4 S 2.26-2.27
Cu: 0.7500 0.2500 0.5000  4 S 2.27
Cu: 0.7563 0.5000 0.2563  4 S 2.26-2.27
Cu: 0.7782 0.0000 0.7782  3 S 2.21-2.27
Sb: 0.0069 0.4590 0.0000  3 S 2.45-2.48
Sb: 0.4590 0.0069 0.0000  3 S 2.45-2.48
Sb: 0.5410 0.5410 0.5478  3 S 2.45-2.48
Sb: 0.9931 0.9931 0.4522  3 S 2.45-2.48
S: 0.0000 0.0000 0.0000  4 Cu 2.27, 2 Zn 2.36
S: 0.0031 0.7514 0.5225  3 Cu 2.21-2.27, 1 Sb 2.45
S: 0.2289 0.4806 0.4775  3 Cu 2.21-2.27, 1 Sb 2.45
S: 0.2486 0.7711 0.2518  3 Cu 2.21-2.27, 1 Sb 2.45
S: 0.2530 0.2530 0.7608  2 Cu 2.27, 1 Zn 2.28, 1 Sb 2.48
S: 0.4806 0.2289 0.4775  3 Cu 2.21-2.27, 1 Sb 2.45
S: 0.4922 0.4922 0.2392  2 Cu 2.27, 1 Zn 2.28, 1 Sb 2.48
S: 0.5078 0.7470 0.0000  2 Cu 2.27, 1 Zn 2.28, 1 Sb 2.48
S: 0.5194 0.9969 0.7482  3 Cu 2.21-2.27, 1 Sb 2.45
S: 0.7470 0.5078 0.0000  2 Cu 2.27, 1 Zn 2.28, 1 Sb 2.48
S: 0.7514 0.0031 0.5225  3 Cu 2.21-2.27, 1 Sb 2.45
S: 0.7711 0.2486 0.2518  3 Cu 2.21-2.27, 1 Sb 2.45
S: 0.9969 0.5194 0.7482  3 Cu 2.21-2.27, 1 Sb 2.45

Values from the calculation:
calculated total energy	-15.9419	eV per atom
volume	18.56	A^3/atom

(11)
DFT (meta-GGA SCAN) results for ScCu3S3 at its PBEsol-relaxed geometry.

Unit cell a=7.1077 b=7.1077 c=7.1077 alpha=54.09 beta=54.09 gamma=54.09
Last column: nearest neighbours and their distance in Å.
Element x y z (fractional)
Sc: 0.1665 0.1665 0.1665  6 S 2.59
Sc: 0.8335 0.8335 0.8335  6 S 2.59
Cu: 0.0371 0.7160 0.3772  4 S 2.27-2.38
Cu: 0.2840 0.6228 0.9629  4 S 2.27-2.38
Cu: 0.3772 0.0371 0.7160  4 S 2.27-2.38
Cu: 0.6228 0.9629 0.2840  4 S 2.27-2.38
Cu: 0.7160 0.3772 0.0371  4 S 2.27-2.38
Cu: 0.9629 0.2840 0.6228  4 S 2.27-2.38
S: 0.0878 0.4216 0.7528  4 Cu 2.27-2.38
S: 0.2472 0.9122 0.5784  4 Cu 2.27-2.38
S: 0.4216 0.7528 0.0878  4 Cu 2.27-2.38
S: 0.5784 0.2472 0.9122  4 Cu 2.27-2.38
S: 0.7528 0.0878 0.4216  4 Cu 2.27-2.38
S: 0.9122 0.5784 0.2472  4 Cu 2.27-2.38

Values from the calculation:
calculated total energy	-13.5941	eV per atom
volume	15.63	A^3/atom

(12)
DFT (meta-GGA SCAN) results for Cu2SeS at its PBEsol-relaxed geometry.

Unit cell a=6.4227 b=6.4227 c=6.4227 alpha=131.56 beta=131.56 gamma=70.93
Last column: nearest neighbours and their distance in Å.
Element x y z (fractional)
Cu: 0.1023 0.6250 0.9773  2 S 2.21, 2 Se 2.35
Cu: 0.3750 0.3523 0.4773  2 S 2.21, 2 Se 2.35
Cu: 0.6477 0.1250 0.0227  2 S 2.21, 2 Se 2.35
Cu: 0.8750 0.8977 0.5227  2 S 2.21, 2 Se 2.35
Se: 0.2500 0.7500 0.5000  4 Cu 2.35
Se: 0.5000 0.5000 0.0000  4 Cu 2.35
S: 0.0000 0.0000 0.0000  4 Cu 2.21
S: 0.7500 0.2500 0.5000  4 Cu 2.21

Values from the calculation:
calculated total energy	-15.2347	eV per atom
volume	18.16	A^3/atom

- Which of these has the highest volume?
  CuSb2TeS

- Which value of volume does entry 10 give?
  18.56 A^3/atom

- Which value of volume does entry 8 give?
  21.37 A^3/atom